A plane-wave DFT calculation with PBE with a Hubbard U was carried out for crystalline Li7Mn2Co3O12 at its relaxed geometry.

```
data_Li7Mn2Co3O12
_chemical_formula_sum 'Li7 Mn2 Co3 O12'
_symmetry_space_group_name_H-M 'P 1'
_symmetry_Int_Tables_number 1
_symmetry_space_group_name_Hall 'P 1'
_cell_length_a 5.0579
_cell_length_b 5.8063
_cell_length_c 7.6858
_cell_angle_alpha 102.29
_cell_angle_beta 96.00
_cell_angle_gamma 105.80
loop_
_atom_site_label
_atom_site_type_symbol
_atom_site_fract_x
_atom_site_fract_y
_atom_site_fract_z
_atom_site_occupancy
Li1 Li 0.0000 0.0000 0.0000 1
Li2 Li 0.0003 0.3257 0.3396 1
Li3 Li 0.0015 0.6622 0.6623 1
Li4 Li 0.0030 0.1713 0.6565 1
Li5 Li 0.5039 0.2522 0.5003 1
Li6 Li 0.9935 0.4939 0.0050 1
Li7 Li 0.9954 0.8293 0.3375 1
Mn1 Mn 0.4996 0.0864 0.8312 1
Mn2 Mn 0.5056 0.7473 0.4994 1
Co1 Co 0.4937 0.9276 0.1779 1
Co2 Co 0.4949 0.4110 0.1674 1
Co3 Co 0.4963 0.5790 0.8319 1
O1 O 0.2664 0.1258 0.2391 1
O2 O 0.2674 0.2787 0.9251 1
O3 O 0.2723 0.6214 0.2614 1
O4 O 0.2793 0.9553 0.5939 1
O5 O 0.2810 0.4821 0.5917 1
O6 O 0.2818 0.7995 0.9101 1
O7 O 0.7026 0.6868 0.0773 1
O8 O 0.7223 0.2043 0.0764 1
O9 O 0.7221 0.3689 0.7646 1
O10 O 0.7248 0.5433 0.4067 1
O11 O 0.7344 0.0170 0.4159 1
O12 O 0.7343 0.8864 0.7398 1
```

Output
Crystal system: triclinic
Total DFT energy (no corrections) in eV/atom: -5.88